Entry 1:
First-principles (meta-GGA SCAN) data for a crystal of SiH2Ir relaxed with PBEsol, as listed in Alexandria via LeMat-Bulk.

abc: 3.464 3.464 13.203
angles: 90.00 90.00 90.00
Positions (direct):
Si (0.000, 0.250, 0.375)
Si (0.000, 0.750, 0.625)
Si (0.500, 0.250, 0.125)
Si (0.500, 0.750, 0.875)
H (0.000, 0.000, 0.000)
H (0.000, 0.500, 0.000)
H (0.250, 0.250, 0.750)
H (0.250, 0.750, 0.250)
H (0.500, 0.000, 0.500)
H (0.500, 0.500, 0.500)
H (0.750, 0.250, 0.750)
H (0.750, 0.750, 0.250)
Ir (0.000, 0.250, 0.875)
Ir (0.000, 0.750, 0.125)
Ir (0.500, 0.250, 0.625)
Ir (0.500, 0.750, 0.375)

Values from the calculation:
DFT total energy (eV/atom): -21.682
SG: I4_1/amd

---

Entry 2:
First-principles (meta-GGA SCAN) data for a crystal of TbAl relaxed with PBEsol, as listed in Alexandria via LeMat-Bulk.

abc: 3.569 3.569 3.569
angles: 90.00 90.00 90.00
Positions (direct):
Tb (0.000, 0.000, 0.000)
Al (0.500, 0.500, 0.500)

Values from the calculation:
DFT total energy (eV/atom): -27.676
Energy of formation (eV per atom): -0.419
SG: Pm-3m

---

Entry 3:
First-principles (meta-GGA SCAN) data for a crystal of Ce2Si3Rh relaxed with PBEsol, as listed in Alexandria via LeMat-Bulk.

abc: 8.141 8.141 4.023
angles: 90.00 90.00 120.00
Positions (direct):
Ce (0.000, 0.000, 0.000)
Ce (0.000, 0.500, 0.000)
Ce (0.500, 0.000, 0.000)
Ce (0.500, 0.500, 0.000)
Si (0.166, 0.331, 0.500)
Si (0.166, 0.834, 0.500)
Si (0.331, 0.166, 0.500)
Si (0.669, 0.834, 0.500)
Si (0.834, 0.166, 0.500)
Si (0.834, 0.669, 0.500)
Rh (0.333, 0.667, 0.500)
Rh (0.667, 0.333, 0.500)

Values from the calculation:
Raw formation energy (eV per formula unit): -5.53
DFT total energy (eV/atom): -26.412
SG: P6/mmm

---

Entry 4:
First-principles (meta-GGA SCAN) data for a crystal of Tc2HgBr relaxed with PBEsol, as listed in Alexandria via LeMat-Bulk.

abc: 2.897 5.191 9.090
angles: 90.00 90.00 90.00
Positions (direct):
Tc (0.000, 0.000, 0.236)
Tc (0.000, 0.000, 0.764)
Tc (0.500, 0.500, 0.236)
Tc (0.500, 0.500, 0.764)
Hg (0.000, 0.500, 0.500)
Hg (0.500, 0.000, 0.500)
Br (0.000, 0.500, 0.000)
Br (0.500, 0.000, 0.000)

Values from the calculation:
Raw formation energy (eV per formula unit): 3.99
DFT total energy (eV/atom): -38.439
SG: Cmmm

---

Entry 5:
First-principles (meta-GGA SCAN) data for a crystal of CoRe relaxed with PBEsol, as listed in Alexandria via LeMat-Bulk.

abc: 9.416 2.609 6.217
angles: 90.00 104.75 90.00
Positions (direct):
Co (0.000, 0.000, 0.000)
Co (0.061, 0.000, 0.614)
Co (0.173, 0.500, 0.340)
Co (0.500, 0.500, 0.000)
Co (0.561, 0.500, 0.614)
Co (0.673, 0.000, 0.340)
Re (0.212, 0.500, 0.951)
Re (0.339, 0.000, 0.666)
Re (0.401, 0.000, 0.285)
Re (0.712, 0.000, 0.951)
Re (0.839, 0.500, 0.666)
Re (0.901, 0.500, 0.285)

Values from the calculation:
DFT total energy (eV/atom): -44.059
Energy of formation (eV per atom): 0.142
SG: Cm

---

Entry 6:
First-principles (meta-GGA SCAN) data for a crystal of Li4Te relaxed with PBEsol, as listed in Alexandria via LeMat-Bulk.

abc: 3.872 3.872 14.218
angles: 90.00 90.00 90.00
Positions (direct):
Li (0.000, 0.000, 0.085)
Li (0.000, 0.000, 0.915)
Li (0.000, 0.500, 0.250)
Li (0.000, 0.500, 0.750)
Li (0.500, 0.000, 0.250)
Li (0.500, 0.000, 0.750)
Li (0.500, 0.500, 0.415)
Li (0.500, 0.500, 0.585)
Te (0.000, 0.000, 0.500)
Te (0.500, 0.500, 0.000)

Values from the calculation:
Raw formation energy (eV per formula unit): -1.23
DFT total energy (eV/atom): -9.609
SG: I4/mmm

---

Entry 7:
First-principles (meta-GGA SCAN) data for a crystal of BaY2Te relaxed with PBEsol, as listed in Alexandria via LeMat-Bulk.

abc: 12.862 3.879 5.537
angles: 90.00 110.77 90.00
Positions (direct):
Ba (0.000, 0.000, 0.000)
Ba (0.500, 0.500, 0.000)
Y (0.207, 0.000, 0.637)
Y (0.428, 0.000, 0.429)
Y (0.707, 0.500, 0.637)
Y (0.928, 0.500, 0.429)
Te (0.241, 0.500, 0.146)
Te (0.741, 0.000, 0.146)

Values from the calculation:
Raw formation energy (eV per formula unit): -1.69
DFT total energy (eV/atom): -33.543
SG: Cm

---

Entry 8:
First-principles (meta-GGA SCAN) data for a crystal of Cd2SiSe relaxed with PBEsol, as listed in Alexandria via LeMat-Bulk.

abc: 3.674 4.379 5.106
angles: 90.00 90.00 90.00
Positions (direct):
Cd (0.000, 0.000, 0.000)
Cd (0.500, 0.000, 0.500)
Si (0.000, 0.500, 0.500)
Se (0.500, 0.500, 0.000)

Values from the calculation:
Raw formation energy (eV per formula unit): 1.48
DFT total energy (eV/atom): -22.360
SG: Pmmm